## 1
VASP calculation (GGA-PBE) on a relaxed structure of Li2Pd.

Output
* V: 13.4 Å³ per atom
* ρ: 4.96 g/cm³

a b c (Å): 6.8535 6.8535 6.8535
angles (deg): 90.00 90.00 90.00
With the nearest neighbours (Å) after each atom.
Space group Fd-3m (No. 227, origin choice 2)
One atom of each set of equivalent atoms:
Li  0.0000  0.0000  0.0000 x16  6 Li 2.42
Pd  0.1250  0.1250  0.6250 x8  12 Li 2.84, 4 Pd 2.97

## 2
VASP calculation (GGA-PBE) on a relaxed structure of Li2Pd.

Output
* V: 14.2 Å³ per atom
* ρ: 4.69 g/cm³

a b c (Å): 7.3593 4.2660 2.7157
angles (deg): 90.00 90.38 90.00
With the nearest neighbours (Å) after each atom.
Space group C2/m (No. 12)
One atom of each set of equivalent atoms:
Li  0.1669  0.0000  0.3884 x4  5 Li 2.53-2.72, 3 Pd 2.67
Pd  0.0000  0.5000  0.0000 x2  12 Li 2.67-2.97, 2 Pd 2.72

## 3
VASP calculation (GGA-PBE) on a relaxed structure of Li2Pd.

Output
* V: 14.3 Å³ per atom
* ρ: 4.64 g/cm³

a b c (Å): 3.0649 3.0649 9.1582
angles (deg): 90.00 90.00 90.00
With the nearest neighbours (Å) after each atom.
Space group I4/mmm (No. 139)
One atom of each set of equivalent atoms:
Li  0.0000  0.0000  0.1552 x4  4 Pd 2.59, 5 Li 2.78-2.84
Pd  0.0000  0.0000  0.5000 x2  8 Li 2.59

Stability summary: most stable 2, least stable 1.

## 1
VASP calculation (GGA-PBE) on a relaxed structure of Li3Pd.

Output
* V: 14.7 Å³ per atom
* ρ: 3.59 g/cm³

a b c (Å): 3.8896 3.8896 3.8896
angles (deg): 90.00 90.00 90.00
With the nearest neighbours (Å) after each atom.
Space group Pm-3m (No. 221)
One atom of each set of equivalent atoms:
Li  0.0000  0.0000  0.5000 x3  8 Li 2.75, 4 Pd 2.75
Pd  0.5000  0.5000  0.5000 x1  12 Li 2.75

## 2
VASP calculation (GGA-PBE) on a relaxed structure of Li3Pd.

Output
* V: 14.8 Å³ per atom
* ρ: 3.57 g/cm³

a b c (Å): 3.0935 8.7115 4.3898
angles (deg): 90.00 90.00 90.00
With the nearest neighbours (Å) after each atom.
Space group Imm2 (No. 44)
One atom of each set of equivalent atoms:
Li  0.0000  0.0000  0.0000 x2  4 Pd 2.68-2.69, 4 Li 2.73
Li  0.0000  0.2416  0.5017 x4  2 Pd 2.61, 6 Li 2.69-2.73
Pd  0.0000  0.5000  0.0002 x2  8 Li 2.61-2.69

Stability summary: most stable 2, least stable 1.

## 1
VASP calculation (GGA-PBE) on a relaxed structure of LiPd5.

Output
* V: 14.9 Å³ per atom
* ρ: 10.03 g/cm³

a b c (Å): 3.8747 11.8429 3.8911
angles (deg): 90.00 90.00 90.00
With the nearest neighbours (Å) after each atom.
Space group Cmmm (No. 65)
One atom of each set of equivalent atoms:
Li  0.0000  0.0000  0.0000 x2  12 Pd 2.74-2.76
Pd  0.0000  0.1652  0.5000 x4  10 Pd 2.75-2.81, 2 Li 2.76
Pd  0.0000  0.3369  0.0000 x4  2 Li 2.74, 10 Pd 2.74-2.83
Pd  0.0000  0.5000  0.5000 x2  8 Pd 2.74-2.75, 4 Li 2.75

## 2
VASP calculation (GGA-PBE) on a relaxed structure of LiPd5.

Output
* V: 15.0 Å³ per atom
* ρ: 9.96 g/cm³

a b c (Å): 4.5471 2.7508 14.3685
angles (deg): 90.00 90.00 90.00
With the nearest neighbours (Å) after each atom.
Space group Amm2 (No. 38)
One atom of each set of equivalent atoms:
Li  0.0000  0.0000  0.0000 x2  10 Pd 2.70-2.77, 2 Li 2.75
Pd  0.0000  0.0000  0.3381 x2  2 Li 2.70, 10 Pd 2.75-2.88
Pd  0.0000  0.0000  0.6620 x2  2 Li 2.70, 10 Pd 2.75-2.88
Pd  0.5000  0.0000  0.1093 x2  10 Pd 2.73-2.78, 2 Li 2.76
Pd  0.5000  0.0000  0.4456 x2  8 Pd 2.73-2.78, 4 Li 2.77
Pd  0.5000  0.0000  0.7777 x2  12 Pd 2.75-2.82

Stability summary: most stable 1, least stable 2.

## 1
VASP calculation (GGA-PBE) on a relaxed structure of Li8Pd3.

Output
* V: 14.6 Å³ per atom
* ρ: 3.88 g/cm³

a b c (Å): 8.2891 3.9696 10.2184
angles (deg): 90.00 107.43 90.00
With the nearest neighbours (Å) after each atom.
Space group C2/m (No. 12)
One atom of each set of equivalent atoms:
Li  0.0477  0.0000  0.3176 x4  8 Li 2.70-2.76, 4 Pd 2.82-2.83
Li  0.1300  0.0000  0.9585 x4  5 Li 2.54-2.76, 5 Pd 2.71-2.77
Li  0.1783  0.5000  0.7736 x4  4 Pd 2.68-2.74, 8 Li 2.70-2.85
Li  0.2256  0.0000  0.5906 x4  4 Pd 2.69-2.72, 8 Li 2.70-2.83
Pd  0.0000  0.5000  0.5000 x2  12 Li 2.69-2.83
Pd  0.0974  0.5000  0.1378 x4  11 Li 2.68-2.82, 1 Pd 2.80

## 2
VASP calculation (GGA-PBE) on a relaxed structure of Li8Pd3.

Output
* V: 18.7 Å³ per atom
* ρ: 3.02 g/cm³

a b c (Å): 8.1016 8.1016 10.8752
angles (deg): 90.00 90.00 120.00
With the nearest neighbours (Å) after each atom.
Space group R-3m (No. 166, hexagonal axes)
One atom of each set of equivalent atoms:
Li  0.0000  0.0000  0.1393 x6  3 Pd 2.36
Li  0.0501  0.5250  0.2702 x18  3 Pd 2.52-2.77, 1 Li 2.81
Pd  0.0000  0.5000  0.5000 x9  4 Li 2.36-2.52

Stability summary: most stable 1, least stable 2.